w:
The following is a PBEsol calculation of crystalline Cu5Au4 at its relaxed geometry, from Alexandria.

Cell lengths 8.092, 8.092, 3.822 Å; angles 90.00, 90.00, 90.00 degrees
Space group I4/mmm (No. 139)
Unique sites:
Cu1 0.000 0.000 0.000
Cu2 0.161 0.161 0.500
Au1 0.000 0.317 0.000

Calculated values
Total magnetization (μB/atom): 0.000



x:
The following is a PBEsol calculation of crystalline Cu5Au4 at its relaxed geometry, from Alexandria.

Cell lengths 7.5160, 7.5160, 5.2190 Å; angles 90.00, 90.00, 120.00 degrees
Space group P6_3/mcm (No. 193)
Unique sites:
Cu1 0.0000 0.3171 0.2500
Cu2 0.3333 0.6667 0.0000
Au1 0.0000 0.0000 0.0000
Au2 0.0000 0.3565 0.7500

Calculated values
Total magnetization (μB/atom): 0.000



Compare the structures above. Which one is the most stable? w is.